(1)
A plane-wave DFT calculation with GGA-PBE was carried out for an optimized crystal structure of Nd2Cd3Bi3. Values from VASP.

Output
- crystal system = orthorhombic
- SG = Pmmm

The structure in Quantum ESPRESSO input format:
```
&SYSTEM
  ibrav = 0, nat = 8, ntyp = 3
/
ATOMIC_SPECIES
Nd 144.24 Nd.upf
Cd 112.41 Cd.upf
Bi 208.98 Bi.upf
CELL_PARAMETERS angstrom
-3.870 3.332 -0.387
-0.681 -1.313 -4.494
-5.938 -6.569 2.819
ATOMIC_POSITIONS angstrom
Nd -4.445 -4.917 2.110
Nd -1.493 -1.652 0.709
Cd -6.840 -4.040 -0.273
Cd -3.649 -0.509 -1.789
Cd -1.935 1.666 -0.194
Bi -4.904 -1.618 1.216
Bi -0.341 -0.657 -2.247
Bi -3.309 -3.941 -0.837
```

---

(2)
A plane-wave DFT calculation with GGA-PBE was carried out for an optimized crystal structure of Ce2OsPt. Values from VASP.

Output
- crystal system = trigonal
- SG = R-3m

The structure in Quantum ESPRESSO input format:
```
&SYSTEM
  ibrav = 0, nat = 4, ntyp = 3
/
ATOMIC_SPECIES
Os 190.23 Os.upf
Ce 140.12 Ce.upf
Pt 195.08 Pt.upf
CELL_PARAMETERS angstrom
3.007 0.000 0.000
1.503 2.604 0.000
1.503 0.868 10.238
ATOMIC_POSITIONS angstrom
Os 3.007 1.736 5.119
Ce 1.503 0.868 7.493
Ce 4.510 2.604 2.745
Pt 0.000 0.000 0.000
```

---

(3)
A plane-wave DFT calculation with GGA-PBE was carried out for an optimized crystal structure of CoIr2Rh3. Values from VASP.

Output
- crystal system = orthorhombic
- SG = Immm
- excess energy over the best structure of this formula in the dataset (meV/atom) = 0

The structure in Quantum ESPRESSO input format:
```
&SYSTEM
  ibrav = 0, nat = 12, ntyp = 3
/
ATOMIC_SPECIES
Co 58.93 Co.upf
Ir 192.22 Ir.upf
Rh 102.91 Rh.upf
CELL_PARAMETERS angstrom
3.799 0.000 0.000
0.000 3.754 0.000
0.000 0.000 12.397
ATOMIC_POSITIONS angstrom
Co 0.000 0.000 6.198
Co 1.900 1.877 0.000
Ir 1.900 0.000 1.826
Ir 0.000 1.877 4.372
Ir 0.000 1.877 8.024
Ir 1.900 3.754 10.571
Rh 0.000 0.000 0.000
Rh 1.900 1.877 6.198
Rh 1.900 3.754 8.097
Rh 1.900 0.000 4.300
Rh 0.000 1.877 10.498
Rh 0.000 1.877 1.899
```

---

(4)
A plane-wave DFT calculation with GGA-PBE was carried out for an optimized crystal structure of MgAgBi. Values from VASP.

Output
- crystal system = monoclinic
- SG = C2/m

The structure in Quantum ESPRESSO input format:
```
&SYSTEM
  ibrav = 0, nat = 6, ntyp = 3
/
ATOMIC_SPECIES
Mg 24.30 Mg.upf
Bi 208.98 Bi.upf
Ag 107.87 Ag.upf
CELL_PARAMETERS angstrom
-6.520 -2.722 2.920
1.003 -2.526 -3.652
3.421 -1.949 2.286
ATOMIC_POSITIONS angstrom
Mg -3.940 -4.429 2.328
Mg -1.728 -6.666 1.646
Bi -0.523 -2.324 -1.013
Bi -0.837 -3.812 2.749
Ag 1.002 -1.673 1.792
Ag -2.362 -4.463 -0.056
```

---

(5)
A plane-wave DFT calculation with GGA-PBE was carried out for an optimized crystal structure of Y2Co3C2. Values from VASP.

Output
- crystal system = monoclinic
- SG = C2/m

The structure in Quantum ESPRESSO input format:
```
&SYSTEM
  ibrav = 0, nat = 7, ntyp = 3
/
ATOMIC_SPECIES
Y 88.91 Y.upf
Co 58.93 Co.upf
C 12.01 C.upf
CELL_PARAMETERS angstrom
3.294 0.000 0.000
-1.647 4.715 -0.293
0.000 -2.534 5.989
ATOMIC_POSITIONS angstrom
Y 1.647 2.926 1.136
Y 0.000 -0.744 4.560
Co 1.647 0.000 0.000
Co 1.647 0.392 2.369
Co 0.000 1.789 3.327
C 1.647 1.338 4.288
C 0.000 0.843 1.408
```

---

(6)
A plane-wave DFT calculation with GGA-PBE was carried out for an optimized crystal structure of IrOsPt. Values from VASP.

Output
- crystal system = hexagonal
- SG = P-6m2
- excess energy over the best structure of this formula in the dataset (meV/atom) = 356

The structure in Quantum ESPRESSO input format:
```
&SYSTEM
  ibrav = 0, nat = 3, ntyp = 3
/
ATOMIC_SPECIES
Ir 192.22 Ir.upf
Os 190.23 Os.upf
Pt 195.08 Pt.upf
CELL_PARAMETERS angstrom
-1.683 3.169 2.577
-0.139 -4.216 1.309
2.384 0.293 1.196
ATOMIC_POSITIONS angstrom
Ir 1.986 0.244 0.997
Os -0.373 0.805 2.553
Pt 1.333 -1.511 2.728
```

---

Number 1: calculated density 9.24 g/cm³, density of states at the Fermi level 3.53 states/eV/cell, energy of formation from the pure elements -42.05 kJ per mole of atoms. Number 2: calculated density 13.79 g/cm³, density of states at the Fermi level 5.72 states/eV/cell, energy of formation from the pure elements 4.75 kJ per mole of atoms. Number 3: calculated density 14.13 g/cm³, density of states at the Fermi level 16.40 states/eV/cell, energy of formation from the pure elements 28.71 kJ per mole of atoms. Number 4: calculated density 7.88 g/cm³, density of states at the Fermi level 2.32 states/eV/cell, energy of formation from the pure elements -7.28 kJ per mole of atoms. Number 5: calculated density 6.94 g/cm³, density of states at the Fermi level 6.46 states/eV/cell, energy of formation from the pure elements 1.58 kJ per mole of atoms. Number 6: calculated density 21.15 g/cm³, density of states at the Fermi level 3.96 states/eV/cell, energy of formation from the pure elements 36.88 kJ per mole of atoms.